TcMo2IrF: relaxed, PBE+U.

Cell: 5.135 5.135 4.568 Å, 90.00 90.00 90.00°
Element x y z (fractional)
Tc  0.000  0.000  0.000
Mo  0.000  0.500  0.000
Mo  0.500  0.000  0.000
Ir  0.000  0.000  0.500
F  0.500  0.500  0.500

Computed properties:
ρ: 6908 kg/m³
Final energy: -28.3 eV per cell
Crystal system: tetragonal